# 1
# Ac4Hg2Rh

Ac4Hg2Rh after structural relaxation (PBE, the Alexandria database).

abc: 14.9465 4.2758 9.5949
angles: 90.00 125.94 90.00
Last column: nearest neighbours and their distance in Å.
Sites, in units of the cell vectors:
Ac 0.0896 0.0000 0.3736  1 Rh 3.00
Ac 0.1599 0.5000 0.0747  2 Rh 2.96
Ac 0.3401 0.0000 0.9253  2 Rh 2.96
Ac 0.4104 0.5000 0.6264  1 Rh 3.00
Ac 0.5896 0.5000 0.3736  1 Rh 3.00
Ac 0.6599 0.0000 0.0747  2 Rh 2.96
Ac 0.8401 0.5000 0.9253  2 Rh 2.96
Ac 0.9104 0.0000 0.6264  1 Rh 3.00
Hg 0.1190 0.5000 0.6810  1 Hg 3.20, 7 Ac 3.45-3.56
Hg 0.3810 0.0000 0.3190  1 Hg 3.20, 7 Ac 3.45-3.56
Hg 0.6190 0.0000 0.6810  1 Hg 3.20, 7 Ac 3.45-3.56
Hg 0.8810 0.5000 0.3190  1 Hg 3.20, 7 Ac 3.45-3.56
Rh 0.0000 0.0000 0.0000  6 Ac 2.96-3.00
Rh 0.5000 0.5000 0.0000  6 Ac 2.96-3.00

Values from the calculation:
* magnetization: 0.0 μB per cell
* E_form: -0.50 eV/atom

***

# 2
# Ac4Hg2RhS

Ac4Hg2RhS after structural relaxation (PBE, the Alexandria database).

abc: 7.7747 4.3291 8.3334
angles: 90.00 106.59 90.00
Last column: nearest neighbours and their distance in Å.
Sites, in units of the cell vectors:
Ac 0.2257 0.0000 0.2103  2 Rh 3.01, 1 S 3.12, 1 Hg 3.37
Ac 0.2476 0.5000 0.7861  1 Rh 2.97, 2 S 3.12
Ac 0.7524 0.5000 0.2139  1 Rh 2.97, 2 S 3.12
Ac 0.7743 0.0000 0.7897  2 Rh 3.01, 1 S 3.12, 1 Hg 3.37
Hg 0.0000 0.0000 0.5000  6 Ac 3.37-3.38
Hg 0.5000 0.5000 0.5000  6 Ac 3.48-3.49
Rh 0.0000 0.5000 0.0000  6 Ac 2.97-3.01
S 0.5000 0.0000 0.0000  6 Ac 3.12

Values from the calculation:
* raw formation energy: -0.85 eV/atom
* magnetization: 0.0 μB per cell

***

# 3
# Ac2HgSb3Rh6

Ac2HgSb3Rh6 after structural relaxation (PBE, the Alexandria database).

abc: 4.1980 4.1980 16.6692
angles: 90.00 90.00 90.00
Last column: nearest neighbours and their distance in Å.
Sites, in units of the cell vectors:
Ac 0.0000 0.0000 0.1721  4 Rh 2.99
Ac 0.0000 0.0000 0.8279  4 Rh 2.99
Hg 0.0000 0.0000 0.5000  8 Rh 2.76
Sb 0.5000 0.5000 0.0000  2 Rh 2.52
Sb 0.5000 0.5000 0.3062  5 Rh 2.55-2.58
Sb 0.5000 0.5000 0.6938  5 Rh 2.55-2.58
Rh 0.0000 0.5000 0.3928  2 Sb 2.55, 2 Hg 2.76
Rh 0.0000 0.5000 0.6072  2 Sb 2.55, 2 Hg 2.76
Rh 0.5000 0.0000 0.3928  2 Sb 2.55, 2 Hg 2.76
Rh 0.5000 0.0000 0.6072  2 Sb 2.55, 2 Hg 2.76
Rh 0.5000 0.5000 0.1515  2 Sb 2.52-2.58
Rh 0.5000 0.5000 0.8485  2 Sb 2.52-2.58

Values from the calculation:
* raw formation energy: -0.34 eV/atom
* magnetization: 0.0 μB per cell

***

# 4
# Ac6Hg3Rh2Se

Ac6Hg3Rh2Se after structural relaxation (PBE, the Alexandria database).

abc: 7.6419 7.6419 8.4271
angles: 98.55 98.55 119.71
Last column: nearest neighbours and their distance in Å.
Sites, in units of the cell vectors:
Ac 0.0747 0.4276 0.7835  2 Rh 3.02, 1 Se 3.22
Ac 0.2152 0.2152 0.2039  2 Rh 2.99, 1 Se 3.15
Ac 0.4276 0.0747 0.7835  2 Rh 3.02, 1 Se 3.22
Ac 0.5724 0.9253 0.2165  2 Rh 3.02, 1 Se 3.22
Ac 0.7848 0.7848 0.7961  2 Rh 2.99, 1 Se 3.15
Ac 0.9253 0.5724 0.2165  2 Rh 3.02, 1 Se 3.22
Hg 0.0000 0.0000 0.5000  6 Ac 3.38-3.48
Hg 0.3510 0.6490 0.5000  6 Ac 3.41-3.49
Hg 0.6490 0.3510 0.5000  6 Ac 3.41-3.49
Rh 0.1682 0.8318 0.0000  6 Ac 2.99-3.02
Rh 0.8318 0.1682 0.0000  6 Ac 2.99-3.02
Se 0.5000 0.5000 0.0000  6 Ac 3.15-3.22

Values from the calculation:
* raw formation energy: -0.75 eV/atom
* magnetization: 0.0 μB per cell

***

Number 1 is which compound?
Ac4Hg2Rh

***

Number 2 is which compound?
Ac4Hg2RhS